{
  "formula": "Li5Ca2Ga2Ag",
  "functional": "PBE",
  "state": "optimized geometry",
  "space_group": "P4/mbm, No. 127",
  "e_form_ev_per_atom": -0.17,
  "dos_at_fermi_per_ev_fu": 3.9,
  "cell": [[10.110, 0.000, 0.000], [0.000, 10.110, 0.000], [0.000, 0.000, 4.236]],
  "species": ["Li", "Li", "Li", "Li", "Li", "Li", "Li", "Li", "Li", "Li", "Ca", "Ca", "Ca", "Ca", "Ga", "Ga", "Ga", "Ga", "Ag", "Ag"],
  "frac_coords": [[0.000, 0.500, 0.000], [0.056, 0.206, 0.000], [0.206, 0.944, 0.000], [0.294, 0.444, 0.000], [0.444, 0.706, 0.000], [0.500, 0.000, 0.000], [0.556, 0.294, 0.000], [0.706, 0.556, 0.000], [0.794, 0.056, 0.000], [0.944, 0.794, 0.000], [0.188, 0.688, 0.500], [0.312, 0.188, 0.500], [0.688, 0.812, 0.500], [0.812, 0.312, 0.500], [0.105, 0.395, 0.500], [0.395, 0.895, 0.500], [0.605, 0.105, 0.500], [0.895, 0.605, 0.500], [0.000, 0.000, 0.500], [0.500, 0.500, 0.500]]
}